## GeSbPbI2 (PBE)

Data for an optimized crystal structure of GeSbPbI2.

Lattice parameters (Å, degrees): 6.091 6.091 6.092 90.00 90.00 90.00
Sites, in units of the cell vectors:
1 Ge 0.000 0.000 0.000
2 Sb 0.500 0.500 0.000
3 Pb 0.500 0.500 0.500
4 I 0.000 0.500 0.500
5 I 0.500 0.000 0.500

Energy relative to the elements, uncorrected = 614 meV/atom
SG = No. 123
Total DFT energy (no corrections) = -12.477 eV per cell
Distance to the lowest polymorph of the same formula = 0.3882 eV/atom

=====

## GeSbPbI2 (PBE)

Data for an optimized crystal structure of GeSbPbI2.

Lattice parameters (Å, degrees): 5.628 5.628 5.679 90.00 90.00 90.00
Sites, in units of the cell vectors:
1 Ge 0.000 0.000 0.000
2 Sb 0.000 0.000 0.500
3 Pb 0.500 0.500 0.500
4 I 0.000 0.500 0.000
5 I 0.500 0.000 0.000

Energy relative to the elements, uncorrected = 226 meV/atom
SG = No. 123
Total DFT energy (no corrections) = -14.418 eV per cell
Distance to the lowest polymorph of the same formula = 0.0000 eV/atom

=====

## GeTe2PbI (PBE)

Data for an optimized crystal structure of GeTe2PbI.

Lattice parameters (Å, degrees): 5.499 5.499 5.668 90.00 90.00 90.00
Sites, in units of the cell vectors:
1 Ge 0.000 0.000 0.000
2 Te 0.000 0.500 0.000
3 Te 0.500 0.000 0.000
4 Pb 0.500 0.500 0.500
5 I 0.000 0.000 0.500

Energy relative to the elements, uncorrected = 105 meV/atom
SG = No. 123
Total DFT energy (no corrections) = -15.635 eV per cell
Distance to the lowest polymorph of the same formula = 0.0000 eV/atom

=====

## GeTe2PbI (PBE)

Data for an optimized crystal structure of GeTe2PbI.

Lattice parameters (Å, degrees): 5.888 5.888 5.995 90.00 90.00 90.00
Sites, in units of the cell vectors:
1 Ge 0.000 0.000 0.000
2 Te 0.000 0.500 0.500
3 Te 0.500 0.000 0.500
4 Pb 0.500 0.500 0.500
5 I 0.500 0.500 0.000

Energy relative to the elements, uncorrected = 594 meV/atom
SG = No. 123
Total DFT energy (no corrections) = -13.188 eV per cell
Distance to the lowest polymorph of the same formula = 0.4894 eV/atom

=====

## VGePb2I (PBE)

Data for an optimized crystal structure of VGePb2I.

Lattice parameters (Å, degrees): 5.499 5.499 4.811 90.00 90.00 90.00
Sites, in units of the cell vectors:
1 V 0.000 0.000 0.000
2 Ge 0.000 0.000 0.500
3 Pb 0.000 0.500 0.000
4 Pb 0.500 0.000 0.000
5 I 0.500 0.500 0.500

Energy relative to the elements, uncorrected = 203 meV/atom
SG = No. 123
Total DFT energy (no corrections) = -21.689 eV per cell

=====

## GePbW2I (PBE)

Data for an optimized crystal structure of GePbW2I.

Lattice parameters (Å, degrees): 5.461 5.461 5.613 90.00 90.00 90.00
Sites, in units of the cell vectors:
1 Ge 0.000 0.000 0.000
2 Pb 0.000 0.000 0.500
3 W 0.000 0.500 0.500
4 W 0.500 0.000 0.500
5 I 0.500 0.500 0.000

Energy relative to the elements, uncorrected = 2557 meV/atom
SG = No. 123
Total DFT energy (no corrections) = -22.998 eV per cell